ScFe2IrW PBE relaxed; V = 95.3 Å³ per cell; final energy = -7.753 eV per atom; magnetic moment = 0.00 Bohr magnetons per cell
1.0
4.4684 0.0000 0.0000
0.0000 4.7720 0.0000
0.0000 0.0000 4.4684
Ir Fe W Sc
1 2 1 1
Cartesian
0.0000 0.0000 0.0000
0.0000 0.0000 2.2342
2.2342 0.0000 0.0000
0.0000 2.3860 0.0000
2.2342 2.3860 2.2342